# InAg3N

A relaxed InAg3N crystal (GGA-PBE, Alexandria).

Cell: 5.339 5.339 5.339 Å, 90.00 90.00 90.00°
Last column: magnetic moment on the atom in μB.
Fractional positions:
In  0.000  0.000  0.000  -0.02
Ag  0.000  0.500  0.000  0.02
N  0.500  0.500  0.500  1.80
Ag  0.000  0.000  0.500  0.00
Ag  0.500  0.000  0.000  0.03

For the excess energy over the best structure of this formula in the dataset, the calculation gives 1021 meV/atom. Its space-group type is No. 221. Its magnetic moment is 2.70 μB per cell. For the total energy, the calculation gives -2.34 eV per atom. Its uncorrected formation energy is 7.93 eV/f.u.



# NbFe2Si

A relaxed NbFe2Si crystal (GGA-PBE, Alexandria).

Cell: 2.853 2.853 6.104 Å, 90.00 90.00 90.00°
Fractional positions:
Fe  0.000  0.000  0.785
Fe  0.000  0.000  0.215
Si  0.500  0.500  0.000
Nb  0.500  0.500  0.500

Its space-group type is No. 123. Its magnetic moment is 0.00 μB per cell. For the total energy, the calculation gives -8.38 eV per atom. Its uncorrected formation energy is -1.11 eV/f.u.



# LaRuI

A relaxed LaRuI crystal (GGA-PBE, Alexandria).

Cell: 4.188 5.972 13.421 Å, 123.45 128.61 45.51°
Fractional positions:
I  0.429  0.153  0.375
Ru  0.534  0.357  0.780
I  0.950  0.498  0.058
La  0.682  0.907  0.878
Ru  0.846  0.293  0.653
La  0.697  0.744  0.555

Its space-group type is No. 11. Its magnetic moment is 0.00 μB per cell. For the total energy, the calculation gives -5.96 eV per atom. Its uncorrected formation energy is -2.14 eV/f.u.



# Li5PaS4

A relaxed Li5PaS4 crystal (GGA-PBE, Alexandria).

Cell: 3.889 7.176 7.921 Å, 116.99 104.21 90.00°
Last column: magnetic moment on the atom in μB.
Fractional positions:
Li  0.178  0.391  0.355  0.00
S  0.291  0.791  0.582  -0.01
Li  0.177  0.963  0.354  0.00
S  0.000  0.272  0.000  -0.02
S  0.000  0.728  0.000  -0.02
Li  0.823  0.037  0.646  0.00
Li  0.822  0.609  0.645  0.00
S  0.709  0.209  0.418  -0.01
Li  0.500  0.500  0.000  0.00
Pa  0.500  0.000  0.000  1.45

Its space-group type is No. 12. Its magnetic moment is 1.94 μB per cell. For the total energy, the calculation gives -4.86 eV per atom. Its uncorrected formation energy is -13.01 eV/f.u.



# Ti2AlAu

A relaxed Ti2AlAu crystal (GGA-PBE, Alexandria).

Cell: 4.220 3.938 3.938 Å, 90.00 90.00 90.00°
Fractional positions:
Ti  0.000  0.500  0.000
Al  0.500  0.500  0.500
Ti  0.000  0.000  0.500
Au  0.500  0.000  0.000

Its space-group type is No. 123. Its magnetic moment is 0.00 μB per cell. The calculation puts the formation energy at -0.4365 eV/atom. For the total energy, the calculation gives -6.14 eV per atom.



# MgTl4

A relaxed MgTl4 crystal (GGA-PBE, Alexandria).

Cell: 5.562 5.562 5.562 Å, 90.00 90.00 90.00°
Fractional positions:
Tl  0.500  0.000  0.500
Mg  0.500  0.500  0.500
Tl  0.000  0.000  0.000
Tl  0.000  0.500  0.500
Tl  0.500  0.500  0.000

For the excess energy over the best structure of this formula in the dataset, the calculation gives 192 meV/atom. Its space-group type is No. 221. Its magnetic moment is 0.00 μB per cell. The calculation puts the formation energy at 0.2171 eV/atom. For the total energy, the calculation gives -1.99 eV per atom.



# LaY2IrPb

A relaxed LaY2IrPb crystal (GGA-PBE, Alexandria).

Cell: 5.441 5.441 5.457 Å, 90.00 90.00 90.00°
Fractional positions:
Y  0.000  0.500  0.000
Y  0.500  0.000  0.000
La  0.000  0.000  0.500
Ir  0.000  0.000  0.000
Pb  0.500  0.500  0.500

Its space-group type is No. 123. Its magnetic moment is 0.00 μB per cell. The calculation puts the formation energy at -0.4862 eV/atom. For the total energy, the calculation gives -6.57 eV per atom.



# LaAlP2

A relaxed LaAlP2 crystal (GGA-PBE, Alexandria).

Cell: 3.772 4.106 5.696 Å, 89.99 90.00 90.00°
Fractional positions:
P  0.000  0.250  0.972
P  0.000  0.250  0.528
La  0.500  0.750  0.750
Al  0.500  0.250  0.250

Its space-group type is No. 47. Its magnetic moment is 0.00 μB per cell. The calculation puts the formation energy at -0.7286 eV/atom. For the total energy, the calculation gives -5.60 eV per atom.